No. 1
First-principles (PBE) data for a relaxed Li2HgAuO4 crystal, as listed in Alexandria via LeMat-Bulk.

Cell: 6.2822 6.5510 6.6468 Å, 90.00 90.00 90.00°
Element x y z (fractional)
Li  0.0000  0.2387  0.0000
Li  0.0000  0.7613  0.0000
Li  0.5000  0.2613  0.5000
Li  0.5000  0.7387  0.5000
Hg  0.0000  0.0000  0.5000
Hg  0.5000  0.5000  0.0000
Au  0.0000  0.5000  0.5000
Au  0.5000  0.0000  0.0000
O  0.2116  0.2742  0.5000
O  0.2116  0.7258  0.5000
O  0.2884  0.2258  0.0000
O  0.2884  0.7742  0.0000
O  0.7116  0.2258  0.0000
O  0.7116  0.7742  0.0000
O  0.7884  0.2742  0.5000
O  0.7884  0.7258  0.5000

Total DFT energy (no corrections)   -64.185 eV for the cell shown
Spin magnetization   2.06 μB/cell
SG   Immm (71)
Calculated density   5.77 g cm⁻³
Uncorrected formation energy   -0.61 eV per atom

No. 2
First-principles (PBE) data for a relaxed Nb2CdBi crystal, as listed in Alexandria via LeMat-Bulk.

Cell: 4.1258 4.1258 21.1998 Å, 90.00 90.00 90.00°
Element x y z (fractional)
Nb  0.2457  0.2500  0.1250
Nb  0.2500  0.7457  0.3750
Nb  0.2500  0.7543  0.8750
Nb  0.2543  0.2500  0.6250
Nb  0.7457  0.7500  0.6250
Nb  0.7500  0.2457  0.8750
Nb  0.7500  0.2543  0.3750
Nb  0.7543  0.7500  0.1250
Cd  0.0000  0.0000  0.0000
Cd  0.0000  0.5000  0.2500
Cd  0.5000  0.0000  0.7500
Cd  0.5000  0.5000  0.5000
Bi  0.0000  0.0000  0.5000
Bi  0.0000  0.5000  0.7500
Bi  0.5000  0.0000  0.2500
Bi  0.5000  0.5000  0.0000

Total DFT energy (no corrections)   -90.048 eV for the cell shown
Spin magnetization   0.00 μB/cell
SG   I-42d (122)
Energy above the lowest structure with this stoichiometry   136 meV per atom
Formation energy   0.606 eV per atom
Calculated density   9.34 g cm⁻³

No. 3
First-principles (PBE) data for a relaxed BeNi2As crystal, as listed in Alexandria via LeMat-Bulk.

Cell: 7.9883 3.1767 3.7491 Å, 90.00 107.76 90.00°
Element x y z (fractional)
Be  0.0000  0.0000  0.0000
Be  0.5000  0.5000  0.0000
Ni  0.0064  0.5000  0.5161
Ni  0.2667  0.0000  0.8702
Ni  0.5064  0.0000  0.5161
Ni  0.7667  0.5000  0.8702
As  0.2683  0.5000  0.3558
As  0.7683  0.0000  0.3558

Total DFT energy (no corrections)   -41.388 eV for the cell shown
Spin magnetization   0.00 μB/cell
SG   Cm (8)
Energy above the lowest structure with this stoichiometry   0 meV per atom
Formation energy   -0.189 eV per atom
Calculated density   7.38 g cm⁻³

No. 4
First-principles (PBE) data for a relaxed HoErAu2 crystal, as listed in Alexandria via LeMat-Bulk.

Cell: 3.6794 4.6821 5.7673 Å, 90.00 108.44 90.00°
Element x y z (fractional)
Ho  0.0000  0.0000  0.0000
Er  0.7234  0.5000  0.4439
Au  0.2726  0.0000  0.5437
Au  0.4505  0.5000  0.8996

Total DFT energy (no corrections)   -19.271 eV for the cell shown
Spin magnetization   0.00 μB/cell
SG   Pm (6)
Energy above the lowest structure with this stoichiometry   0 meV per atom
Formation energy   -0.894 eV per atom
Calculated density   12.79 g cm⁻³

No. 5
First-principles (PBE) data for a relaxed Mn2NiIr2 crystal, as listed in Alexandria via LeMat-Bulk.

Cell: 7.1137 7.1137 2.7742 Å, 90.00 90.00 90.00°
Element x y z (fractional)
Mn  0.1630  0.3370  0.0000
Mn  0.3370  0.8370  0.0000
Mn  0.6630  0.1630  0.0000
Mn  0.8370  0.6630  0.0000
Ni  0.0000  0.0000  0.5000
Ni  0.5000  0.5000  0.5000
Ir  0.1355  0.6355  0.5000
Ir  0.3645  0.1355  0.5000
Ir  0.6355  0.8645  0.5000
Ir  0.8645  0.3645  0.5000

Total DFT energy (no corrections)   -82.060 eV for the cell shown
Spin magnetization   9.77 μB/cell
SG   P4/mbm (127)
Energy above the lowest structure with this stoichiometry   12 meV per atom
Formation energy   0.162 eV per atom
Calculated density   13.08 g cm⁻³

No. 6
First-principles (PBE) data for a relaxed LiFeCoW crystal, as listed in Alexandria via LeMat-Bulk.

Cell: 5.7506 5.7506 5.7506 Å, 90.00 90.00 90.00°
Element x y z (fractional)
Li  0.0000  0.0000  0.0000
Li  0.0000  0.5000  0.5000
Li  0.5000  0.0000  0.5000
Li  0.5000  0.5000  0.0000
Fe  0.2500  0.2500  0.7500
Fe  0.2500  0.7500  0.2500
Fe  0.7500  0.2500  0.2500
Fe  0.7500  0.7500  0.7500
Co  0.2500  0.2500  0.2500
Co  0.2500  0.7500  0.7500
Co  0.7500  0.2500  0.7500
Co  0.7500  0.7500  0.2500
W  0.0000  0.0000  0.5000
W  0.0000  0.5000  0.0000
W  0.5000  0.0000  0.0000
W  0.5000  0.5000  0.5000

Total DFT energy (no corrections)   -119.703 eV for the cell shown
Spin magnetization   0.00 μB/cell
SG   F-43m (216)
Formation energy   0.127 eV per atom
Calculated density   10.67 g cm⁻³

No. 7
First-principles (PBE) data for a relaxed Er2CSe crystal, as listed in Alexandria via LeMat-Bulk.

Cell: 3.6962 3.6962 19.9843 Å, 90.00 90.00 120.00°
Element x y z (fractional)
Er  0.0000  0.0000  0.0000
Er  0.0000  0.0000  0.2010
Er  0.3333  0.6667  0.6667
Er  0.3333  0.6667  0.8677
Er  0.6667  0.3333  0.3333
Er  0.6667  0.3333  0.5344
C  0.0000  0.0000  0.6016
C  0.3333  0.6667  0.2683
C  0.6667  0.3333  0.9350
Se  0.0000  0.0000  0.4330
Se  0.3333  0.6667  0.0997
Se  0.6667  0.3333  0.7663

Total DFT energy (no corrections)   -78.998 eV for the cell shown
Spin magnetization   0.00 μB/cell
SG   R3m (160)
Calculated density   8.96 g cm⁻³
Uncorrected formation energy   -1.12 eV per atom

No. 8
First-principles (PBE) data for a relaxed Pr2RuPb crystal, as listed in Alexandria via LeMat-Bulk.

Cell: 3.9765 3.9765 26.2658 Å, 90.00 90.00 120.00°
Element x y z (fractional)
Pr  0.0000  0.0000  0.2313
Pr  0.0000  0.0000  0.7687
Pr  0.3333  0.6667  0.4353
Pr  0.3333  0.6667  0.8980
Pr  0.6667  0.3333  0.1020
Pr  0.6667  0.3333  0.5647
Ru  0.0000  0.0000  0.5000
Ru  0.3333  0.6667  0.1667
Ru  0.6667  0.3333  0.8333
Pb  0.0000  0.0000  0.0000
Pb  0.3333  0.6667  0.6667
Pb  0.6667  0.3333  0.3333

Total DFT energy (no corrections)   -69.389 eV for the cell shown
Spin magnetization   0.00 μB/cell
SG   R-3m (166)
Energy above the lowest structure with this stoichiometry   162 meV per atom
Formation energy   -0.147 eV per atom
Calculated density   8.17 g cm⁻³

No. 9
First-principles (PBE) data for a relaxed Li2Cd2Ag7 crystal, as listed in Alexandria via LeMat-Bulk.

Cell: 6.5669 6.5669 5.4684 Å, 106.71 106.71 95.23°
Element x y z (fractional)
Li  0.1812  0.8188  0.0000
Li  0.8188  0.1812  0.0000
Cd  0.3641  0.3641  0.6056
Cd  0.6359  0.6359  0.3944
Ag  0.0000  0.0000  0.5000
Ag  0.0679  0.5784  0.3061
Ag  0.2697  0.2697  0.0339
Ag  0.4216  0.9321  0.6939
Ag  0.5784  0.0679  0.3061
Ag  0.7303  0.7303  0.9661
Ag  0.9321  0.4216  0.6939

Total DFT energy (no corrections)   -26.189 eV for the cell shown
Spin magnetization   0.00 μB/cell
SG   C2/m (12)
Energy above the lowest structure with this stoichiometry   0 meV per atom
Formation energy   -0.052 eV per atom
Calculated density   7.77 g cm⁻³

No. 10
First-principles (PBE) data for a relaxed Li2ErPt crystal, as listed in Alexandria via LeMat-Bulk.

Cell: 5.4857 5.7353 5.0820 Å, 90.00 90.00 90.00°
Element x y z (fractional)
Li  0.0000  0.2017  0.0000
Li  0.0000  0.7983  0.0000
Li  0.5000  0.2983  0.0000
Li  0.5000  0.7017  0.0000
Er  0.0000  0.5000  0.5000
Er  0.5000  0.0000  0.5000
Pt  0.0000  0.0000  0.5000
Pt  0.5000  0.5000  0.5000

Total DFT energy (no corrections)   -32.877 eV for the cell shown
Spin magnetization   0.00 μB/cell
SG   Cmmm (65)
Energy above the lowest structure with this stoichiometry   0 meV per atom
Formation energy   -0.502 eV per atom
Calculated density   7.81 g cm⁻³

No. 11
First-principles (PBE) data for a relaxed Ba2InAg3Bi4 crystal, as listed in Alexandria via LeMat-Bulk.

Cell: 5.1263 5.1263 12.0387 Å, 90.00 90.00 90.00°
Element x y z (fractional)
Ba  0.0000  0.5000  0.2454
Ba  0.5000  0.0000  0.7546
In  0.0000  0.0000  0.5000
Ag  0.0000  0.5000  0.8734
Ag  0.5000  0.0000  0.1266
Ag  0.5000  0.5000  0.5000
Bi  0.0000  0.0000  0.0000
Bi  0.0000  0.5000  0.6371
Bi  0.5000  0.0000  0.3629
Bi  0.5000  0.5000  0.0000

Total DFT energy (no corrections)   -34.521 eV for the cell shown
Spin magnetization   0.00 μB/cell
SG   P-4m2 (115)
Formation energy   -0.386 eV per atom
Calculated density   8.13 g cm⁻³

No. 12
First-principles (PBE) data for a relaxed Ba3ZnGe2O8 crystal, as listed in Alexandria via LeMat-Bulk.

Cell: 5.8122 5.8122 7.4930 Å, 90.00 90.00 120.00°
Element x y z (fractional)
Ba  0.0000  0.0000  0.0000
Ba  0.3333  0.6667  0.6589
Ba  0.6667  0.3333  0.3411
Zn  0.0000  0.0000  0.5000
Ge  0.3333  0.6667  0.2264
Ge  0.6667  0.3333  0.7736
O  0.1686  0.3372  0.3188
O  0.1686  0.8314  0.3188
O  0.3333  0.6667  0.9949
O  0.3372  0.1686  0.6812
O  0.6628  0.8314  0.3188
O  0.6667  0.3333  0.0051
O  0.8314  0.1686  0.6812
O  0.8314  0.6628  0.6812

Total DFT energy (no corrections)   -86.690 eV for the cell shown
Spin magnetization   0.00 μB/cell
SG   P-3m1 (164)
Calculated density   5.69 g cm⁻³
Uncorrected formation energy   -2.20 eV per atom

No. 13
First-principles (PBE) data for a relaxed NbInN2O crystal, as listed in Alexandria via LeMat-Bulk.

Cell: 4.0938 4.0938 3.9963 Å, 90.00 90.00 90.00°
Element x y z (fractional)
Nb  0.0000  0.0000  0.0000
In  0.5000  0.5000  0.5000
N  0.0000  0.5000  0.5000
N  0.5000  0.0000  0.5000
O  0.5000  0.5000  0.0000

Total DFT energy (no corrections)   -29.259 eV for the cell shown
Spin magnetization   0.00 μB/cell
SG   P4/mmm (123)
Calculated density   6.24 g cm⁻³
Uncorrected formation energy   1.03 eV per atom

No. 14
First-principles (PBE) data for a relaxed Tm2BeTc crystal, as listed in Alexandria via LeMat-Bulk.

Cell: 3.4470 3.4470 6.5055 Å, 90.00 90.00 90.00°
Element x y z (fractional)
Tm  0.0000  0.0000  0.2448
Tm  0.0000  0.0000  0.7552
Be  0.5000  0.5000  0.5000
Tc  0.5000  0.5000  0.0000

Total DFT energy (no corrections)   -22.946 eV for the cell shown
Spin magnetization   0.00 μB/cell
SG   P4/mmm (123)
Formation energy   0.022 eV per atom
Calculated density   9.56 g cm⁻³

No. 15
First-principles (PBE) data for a relaxed SrLa3Ir crystal, as listed in Alexandria via LeMat-Bulk.

Cell: 10.2664 10.2664 7.2016 Å, 95.62 95.62 97.27°
Element x y z (fractional)
Sr  0.0642  0.1981  0.1275
Sr  0.1981  0.0642  0.6275
Sr  0.8019  0.9358  0.3725
Sr  0.9358  0.8019  0.8725
La  0.0962  0.6745  0.4075
La  0.1867  0.5421  0.9266
La  0.3255  0.9038  0.0925
La  0.3379  0.4484  0.5172
La  0.4484  0.3379  0.0172
La  0.4579  0.8133  0.5734
La  0.5421  0.1867  0.4266
La  0.5516  0.6621  0.9828
La  0.6621  0.5516  0.4828
La  0.6745  0.0962  0.9075
La  0.8133  0.4579  0.0734
La  0.9038  0.3255  0.5925
Ir  0.2154  0.7846  0.7500
Ir  0.3586  0.6414  0.2500
Ir  0.6414  0.3586  0.7500
Ir  0.7846  0.2154  0.2500

Total DFT energy (no corrections)   -107.517 eV for the cell shown
Spin magnetization   0.00 μB/cell
SG   C2/c (15)
Energy above the lowest structure with this stoichiometry   12 meV per atom
Formation energy   -0.311 eV per atom
Calculated density   6.21 g cm⁻³

No. 16
First-principles (PBE) data for a relaxed LaNd5Sm5 crystal, as listed in Alexandria via LeMat-Bulk.

Cell: 9.9342 9.9342 7.0737 Å, 107.98 107.98 36.16°
Element x y z (fractional)
La  0.0000  0.0000  0.0000
Nd  0.0000  0.0000  0.5000
Nd  0.3280  0.3280  0.8110
Nd  0.3740  0.3740  0.3551
Nd  0.6260  0.6260  0.6449
Nd  0.6720  0.6720  0.1890
Sm  0.1744  0.1744  0.9274
Sm  0.1767  0.1767  0.4176
Sm  0.5000  0.5000  0.0000
Sm  0.8233  0.8233  0.5824
Sm  0.8256  0.8256  0.0726

Total DFT energy (no corrections)   -49.800 eV for the cell shown
Spin magnetization   0.32 μB/cell
SG   C2/m (12)
Energy above the lowest structure with this stoichiometry   93 meV per atom
Formation energy   0.233 eV per atom
Calculated density   6.87 g cm⁻³

No. 17
First-principles (PBE) data for a relaxed AgCS3 crystal, as listed in Alexandria via LeMat-Bulk.

Cell: 4.2115 4.2115 4.2115 Å, 90.00 90.00 90.00°
Element x y z (fractional)
Ag  0.0000  0.0000  0.0000
C  0.5000  0.5000  0.5000
S  0.0000  0.5000  0.5000
S  0.5000  0.0000  0.5000
S  0.5000  0.5000  0.0000

Total DFT energy (no corrections)   -18.187 eV for the cell shown
Spin magnetization   0.00 μB/cell
SG   Pm-3m (221)
Energy above the lowest structure with this stoichiometry   0 meV per atom
Calculated density   4.80 g cm⁻³
Uncorrected formation energy   1.25 eV per atom

No. 18
First-principles (PBE) data for a relaxed Tm2Sc7Tl2 crystal, as listed in Alexandria via LeMat-Bulk.

Cell: 7.0986 7.0986 5.9759 Å, 103.40 103.40 96.24°
Element x y z (fractional)
Tm  0.2007  0.2007  0.1113
Tm  0.7993  0.7993  0.8887
Sc  0.0000  0.0000  0.5000
Sc  0.0651  0.5931  0.3224
Sc  0.4066  0.4066  0.6769
Sc  0.4069  0.9349  0.6776
Sc  0.5931  0.0651  0.3224
Sc  0.5934  0.5934  0.3231
Sc  0.9349  0.4069  0.6776
Tl  0.2614  0.7386  0.0000
Tl  0.7386  0.2614  0.0000

Total DFT energy (no corrections)   -57.665 eV for the cell shown
Spin magnetization   0.00 μB/cell
SG   C2/m (12)
Formation energy   0.030 eV per atom
Calculated density   6.28 g cm⁻³

No. 19
First-principles (PBE) data for a relaxed BaP2Br crystal, as listed in Alexandria via LeMat-Bulk.

Cell: 5.4299 5.4299 16.1308 Å, 90.00 90.00 120.00°
Element x y z (fractional)
Ba  0.0000  0.0000  0.0000
Ba  0.3333  0.6667  0.6667
Ba  0.6667  0.3333  0.3333
P  0.0000  0.0000  0.3370
P  0.0000  0.0000  0.6630
P  0.3333  0.6667  0.0037
P  0.3333  0.6667  0.3296
P  0.6667  0.3333  0.6704
P  0.6667  0.3333  0.9963
Br  0.0000  0.0000  0.5000
Br  0.3333  0.6667  0.1667
Br  0.6667  0.3333  0.8333

Total DFT energy (no corrections)   -43.626 eV for the cell shown
Spin magnetization   0.00 μB/cell
SG   R-3m (166)
Energy above the lowest structure with this stoichiometry   800 meV per atom
Calculated density   3.38 g cm⁻³
Uncorrected formation energy   -0.03 eV per atom

No. 20
First-principles (PBE) data for a relaxed ZnInSn2 crystal, as listed in Alexandria via LeMat-Bulk.

Cell: 3.3233 3.3233 31.7120 Å, 90.00 90.00 120.00°
Element x y z (fractional)
Zn  0.0000  0.0000  0.0000
Zn  0.3333  0.6667  0.6667
Zn  0.6667  0.3333  0.3333
In  0.0000  0.0000  0.5000
In  0.3333  0.6667  0.1667
In  0.6667  0.3333  0.8333
Sn  0.0000  0.0000  0.4029
Sn  0.0000  0.0000  0.5971
Sn  0.3333  0.6667  0.0695
Sn  0.3333  0.6667  0.2638
Sn  0.6667  0.3333  0.7362
Sn  0.6667  0.3333  0.9305

Total DFT energy (no corrections)   -34.862 eV for the cell shown
Spin magnetization   0.00 μB/cell
SG   R-3m (166)
Energy above the lowest structure with this stoichiometry   14 meV per atom
Formation energy   0.099 eV per atom
Calculated density   6.86 g cm⁻³